A relaxed Na2CoO3 crystal, computed with GGA+U.

V: 176.4 Å³/cell
crystal system: orthorhombic
offset from the most stable computed form: 0 meV/atom

a = 6.227 Å, b = 6.227 Å, c = 5.203 Å
α = 90.00°, β = 90.00°, γ = 60.97°
Element x y z (fractional)
Na: 0.003 0.671 0.500
Na: 0.329 0.997 0.500
Na: 0.671 0.003 0.000
Na: 0.997 0.329 0.000
Co: 0.342 0.658 0.026
Co: 0.658 0.342 0.526
O: 0.062 0.665 0.957
O: 0.335 0.938 0.957
O: 0.388 0.612 0.384
O: 0.612 0.388 0.884
O: 0.665 0.062 0.457
O: 0.938 0.335 0.457